Below is a relaxed structure of La2Sm2CI5, with properties calculated at the PBE level.

It has space group C2/m (No. 12), with a = 19.522 Å, b = 4.132 Å, c = 8.993 Å, α = 90.00°, β = 102.58° and γ = 90.00°. Symmetry generates all atoms from La at (0.001, 0.000, 0.304), Sm at (0.131, 0.500, 0.565), C at (0.000, 0.500, 0.500), I at (0.000, 0.500, 0.000), I at (0.167, 0.000, 0.835) and I at (0.172, 0.000, 0.332).

As for the total energy: -4.7765 eV per atom. The value obtained for the magnetization is 0.60 μB/cell.

Below is a relaxed structure of La2Tm2CI5, with properties calculated at the PBE level.

It has space group C2/m (No. 12), with a = 19.887 Å, b = 4.063 Å, c = 9.016 Å, α = 90.00°, β = 102.47° and γ = 90.00°. Symmetry generates all atoms from La at (0.000, 0.000, 0.197), Tm at (0.122, 0.500, 0.060), C at (0.000, 0.500, 0.000), I at (0.000, 0.500, 0.500), I at (0.167, 0.000, 0.314) and I at (0.169, 0.000, 0.848).

As for the total energy: -4.6905 eV per atom. The value obtained for the magnetization is 0.76 μB/cell.

Below is a relaxed structure of Pr4CI2N, with properties calculated at the PBE level.

It has space group P-3m1 (No. 164), with a = 3.8678 Å, b = 3.8678 Å, c = 15.5037 Å, α = 90.00°, β = 90.00° and γ = 120.00°. Symmetry generates all atoms from Pr at (0.3333, 0.6667, 0.0844), Pr at (0.3333, 0.6667, 0.4111), C at (0.0000, 0.0000, 0.5000), I at (0.3333, 0.6667, 0.7558) and N at (0.0000, 0.0000, 0.0000).

As for the total energy: -5.9184 eV per atom. The value obtained for the magnetization is 0.01 μB/cell.

Below is a relaxed structure of TmNbC2I2, with properties calculated at the PBE level.

It has space group Cm (No. 8), with a = 7.044 Å, b = 3.650 Å, c = 10.786 Å, α = 90.00°, β = 93.85° and γ = 90.00°. Symmetry generates all atoms from Tm at (0.000, 0.000, 0.000), Nb at (0.204, 0.500, 0.772), C at (0.282, 0.000, 0.908), C at (0.441, 0.000, 0.842), I at (0.038, 0.000, 0.581) and I at (0.182, 0.500, 0.199).

As for the total energy: -6.4816 eV per atom. The value obtained for the magnetization is 0.01 μB/cell.

Below is a relaxed structure of PrNdCI, with properties calculated at the PBE level.

It has space group R3m (No. 160, hexagonal axes), with a = 3.9013 Å, b = 3.9013 Å, c = 23.5402 Å, α = 90.00°, β = 90.00° and γ = 120.00°. Symmetry generates all atoms from Pr at (0.0000, 0.0000, 0.0000), Nd at (0.0000, 0.0000, 0.4490), C at (0.0000, 0.0000, 0.7257) and I at (0.0000, 0.0000, 0.2240).

As for the total energy: -5.7620 eV per atom. The value obtained for the magnetization is 0.02 μB/cell.

Below is a relaxed structure of Pr2Nd2C2I5, with properties calculated at the PBE level.

It has space group C2/m (No. 12), with a = 20.416 Å, b = 4.089 Å, c = 8.850 Å, α = 90.00°, β = 104.23° and γ = 90.00°. Symmetry generates all atoms from Pr at (0.000, 0.000, 0.192), Nd at (0.151, 0.500, 0.092), C at (0.035, 0.500, 0.021), I at (0.000, 0.500, 0.500), I at (0.162, 0.000, 0.369) and I at (0.167, 0.000, 0.826).

As for the total energy: -5.2033 eV per atom. The value obtained for the magnetization is 0.02 μB/cell.

> What is the magnetization in the sixth record?

0.02 μB/cell

> Look up the total energy of the sixth one.

-5.2033 eV per atom